Ba2Ca2Tl2Cr3O10 | Alexandria | PBE with a Hubbard U | optimized geometry; E = -6.376 eV/atom; density of states at the Fermi level = 4.09 states/eV/cell
1.0
3.961 0.002 -0.005
-0.002 3.984 -0.013
-1.958 -2.052 18.617
Cr O Ca Ba Tl
3 10 2 2 2
Cartesian
1.973 1.740 -0.002 Cr
0.011 -0.325 15.160 Cr
1.980 1.752 3.472 Cr
1.981 -0.241 3.130 O
1.992 -0.324 15.501 O
1.983 1.777 5.413 O
3.954 1.741 -0.004 O
1.990 2.137 10.327 O
0.009 -0.337 13.238 O
1.973 3.732 -0.006 O
0.010 1.668 15.483 O
0.004 0.420 7.919 O
0.000 1.743 3.109 O
1.992 1.675 16.893 Ca
-0.004 3.736 1.688 Ca
0.003 -0.242 5.325 Ba
1.989 1.670 13.224 Ba
1.985 1.473 8.195 Tl
0.010 -0.329 10.528 Tl